Model w:
Na2Ge2O5: relaxed, PBE-GGA.

abc: 9.8833 5.7446 8.7620
angles: 90.00 90.00 90.00
Fractional coordinates of all 36 atoms:
1 Na 0.0076 0.0485 0.0000
2 Na 0.2439 0.9249 0.2324
3 Na 0.2561 0.9249 0.7324
4 Na 0.4924 0.0485 0.5000
5 Na 0.5076 0.9515 0.0000
6 Na 0.7439 0.0751 0.2324
7 Na 0.7561 0.0751 0.7324
8 Na 0.9924 0.9515 0.5000
9 Ge 0.0382 0.4551 0.7351
10 Ge 0.2057 0.3816 0.4348
11 Ge 0.2943 0.3816 0.9348
12 Ge 0.4618 0.4551 0.2351
13 Ge 0.5382 0.5449 0.7351
14 Ge 0.7057 0.6184 0.4348
15 Ge 0.7943 0.6184 0.9348
16 Ge 0.9618 0.5449 0.2351
17 O 0.0019 0.1631 0.7362
18 O 0.1034 0.3571 0.2630
19 O 0.1138 0.5715 0.5625
20 O 0.1558 0.5644 0.8776
21 O 0.2432 0.1013 0.4867
22 O 0.2568 0.1013 0.9867
23 O 0.3442 0.5644 0.3776
24 O 0.3862 0.5715 0.0625
25 O 0.3966 0.3571 0.7630
26 O 0.4981 0.1631 0.2362
27 O 0.5019 0.8369 0.7362
28 O 0.6034 0.6429 0.2630
29 O 0.6138 0.4285 0.5625
30 O 0.6558 0.4356 0.8776
31 O 0.7432 0.8987 0.4867
32 O 0.7568 0.8987 0.9867
33 O 0.8442 0.4356 0.3776
34 O 0.8862 0.4285 0.0625
35 O 0.8966 0.6429 0.7630
36 O 0.9981 0.8369 0.2362

DOS at the Fermi energy: 0.000 states/eV/f.u.
V: 13.8 A^3/atom
size of the total moment: 0.00 μB/cell

=====

Model x:
Na2Ge2O5: relaxed, PBE-GGA.

abc: 8.5367 12.4380 5.0138
angles: 90.00 90.00 90.00
Fractional coordinates of all 36 atoms:
1 Na 0.0692 0.2284 0.0000
2 Na 0.1849 0.6938 0.9667
3 Na 0.3151 0.1938 0.4667
4 Na 0.4308 0.7284 0.5000
5 Na 0.5692 0.2716 0.0000
6 Na 0.6849 0.8062 0.9667
7 Na 0.8151 0.3062 0.4667
8 Na 0.9308 0.7716 0.5000
9 Ge 0.0494 0.9290 0.0462
10 Ge 0.1098 0.5264 0.4263
11 Ge 0.3902 0.0264 0.9263
12 Ge 0.4506 0.4290 0.5462
13 Ge 0.5494 0.5710 0.0462
14 Ge 0.6098 0.9736 0.4263
15 Ge 0.8902 0.4736 0.9263
16 Ge 0.9506 0.0710 0.5462
17 O 0.0270 0.9507 0.4007
18 O 0.0381 0.1918 0.4745
19 O 0.0709 0.5184 0.0720
20 O 0.1645 0.6569 0.4946
21 O 0.2445 0.4183 0.4871
22 O 0.2555 0.9183 0.9871
23 O 0.3355 0.1569 0.9946
24 O 0.4291 0.0184 0.5720
25 O 0.4619 0.6918 0.9745
26 O 0.4730 0.4507 0.9007
27 O 0.5270 0.5493 0.4007
28 O 0.5381 0.3082 0.4745
29 O 0.5709 0.9816 0.0720
30 O 0.6645 0.8431 0.4946
31 O 0.7445 0.0817 0.4871
32 O 0.7555 0.5817 0.9871
33 O 0.8355 0.3431 0.9946
34 O 0.9291 0.4816 0.5720
35 O 0.9619 0.8082 0.9745
36 O 0.9730 0.0493 0.9007

DOS at the Fermi energy: 0.000 states/eV/f.u.
V: 14.8 A^3/atom
size of the total moment: 0.00 μB/cell

=====

Most stable: model x (next structure +0.007 eV/atom)

=====

Model w:
Na2GeO: relaxed, PBE-GGA.

abc: 8.6109 8.6109 4.3905
angles: 90.00 90.00 90.00
Fractional coordinates of all 16 atoms:
1 Na 0.1002 0.7500 0.1250
2 Na 0.2500 0.1002 0.8750
3 Na 0.2500 0.3998 0.3750
4 Na 0.3998 0.7500 0.6250
5 Na 0.6002 0.2500 0.6250
6 Na 0.7500 0.6002 0.3750
7 Na 0.7500 0.8998 0.8750
8 Na 0.8998 0.2500 0.1250
9 Ge 0.0000 0.0000 0.5000
10 Ge 0.0000 0.5000 0.7500
11 Ge 0.5000 0.0000 0.2500
12 Ge 0.5000 0.5000 0.0000
13 O 0.0000 0.0000 0.0000
14 O 0.0000 0.5000 0.2500
15 O 0.5000 0.0000 0.7500
16 O 0.5000 0.5000 0.5000

DOS at the Fermi energy: 1.381 states/eV/f.u.
V: 20.3 A^3/atom
size of the total moment: 0.00 μB/cell

=====

Model x:
Na2GeO: relaxed, PBE-GGA.

abc: 6.6161 6.6161 6.6161
angles: 90.00 90.00 90.00
Fractional coordinates of all 16 atoms:
1 Na 0.2500 0.2500 0.2500
2 Na 0.2500 0.2500 0.7500
3 Na 0.2500 0.7500 0.2500
4 Na 0.2500 0.7500 0.7500
5 Na 0.7500 0.2500 0.2500
6 Na 0.7500 0.2500 0.7500
7 Na 0.7500 0.7500 0.2500
8 Na 0.7500 0.7500 0.7500
9 Ge 0.0000 0.0000 0.0000
10 Ge 0.0000 0.5000 0.5000
11 Ge 0.5000 0.0000 0.5000
12 Ge 0.5000 0.5000 0.0000
13 O 0.0000 0.0000 0.5000
14 O 0.0000 0.5000 0.0000
15 O 0.5000 0.0000 0.0000
16 O 0.5000 0.5000 0.5000

DOS at the Fermi energy: 2.933 states/eV/f.u.
V: 18.1 A^3/atom
size of the total moment: 0.52 μB/cell

=====

Most stable: model w (next structure +0.542 eV/atom)

=====

Model w:
Na3GeO3: relaxed, PBE-GGA.

abc: 6.1376 6.1376 6.4342
angles: 106.81 106.81 106.89
Fractional coordinates of all 14 atoms:
1 Na 0.1828 0.8172 0.0000
2 Na 0.3002 0.6998 0.5000
3 Na 0.3675 0.3675 0.0674
4 Na 0.6325 0.6325 0.9326
5 Na 0.6998 0.3002 0.5000
6 Na 0.8172 0.1828 0.0000
7 Ge 0.1845 0.1845 0.5456
8 Ge 0.8155 0.8155 0.4544
9 O 0.1716 0.4592 0.7312
10 O 0.2081 0.2081 0.2816
11 O 0.4592 0.1716 0.7312
12 O 0.5408 0.8284 0.2688
13 O 0.7919 0.7919 0.7184
14 O 0.8284 0.5408 0.2688

DOS at the Fermi energy: 0.000 states/eV/f.u.
V: 14.5 A^3/atom
size of the total moment: 0.00 μB/cell

=====

Model x:
Na3GeO3: relaxed, PBE-GGA.

abc: 8.2473 8.2473 8.3729
angles: 90.00 90.00 64.78
Fractional coordinates of all 28 atoms:
1 Na 0.0098 0.3398 0.8791
2 Na 0.1602 0.4902 0.6209
3 Na 0.1971 0.8029 0.8683
4 Na 0.3029 0.6971 0.3683
5 Na 0.3398 0.0098 0.1209
6 Na 0.4902 0.1602 0.3791
7 Na 0.5098 0.8398 0.6209
8 Na 0.6602 0.9902 0.8791
9 Na 0.6971 0.3029 0.6317
10 Na 0.8029 0.1971 0.1317
11 Na 0.8398 0.5098 0.3791
12 Na 0.9902 0.6602 0.1209
13 Ge 0.0986 0.0986 0.5000
14 Ge 0.4014 0.4014 0.0000
15 Ge 0.5986 0.5986 0.0000
16 Ge 0.9014 0.9014 0.5000
17 O 0.0078 0.3080 0.5956
18 O 0.0920 0.9080 0.6189
19 O 0.1920 0.4922 0.9044
20 O 0.3080 0.0078 0.4044
21 O 0.4080 0.5920 0.1189
22 O 0.4922 0.1920 0.0956
23 O 0.5078 0.8080 0.9044
24 O 0.5920 0.4080 0.8811
25 O 0.6920 0.9922 0.5956
26 O 0.8080 0.5078 0.0956
27 O 0.9080 0.0920 0.3811
28 O 0.9922 0.6920 0.4044

DOS at the Fermi energy: 0.878 states/eV/f.u.
V: 18.4 A^3/atom
size of the total moment: 0.00 μB/cell

=====

Most stable: model w (next structure +0.149 eV/atom)

=====

Model w:
NaGePO2: relaxed, PBE-GGA.

abc: 3.8814 3.8814 4.8999
angles: 90.00 90.00 90.00
Fractional coordinates of all 5 atoms:
1 Na 0.0000 0.0000 0.0000
2 Ge 0.5000 0.5000 0.5000
3 P 0.5000 0.5000 0.0000
4 O 0.0000 0.5000 0.5000
5 O 0.5000 0.0000 0.5000

DOS at the Fermi energy: 2.416 states/eV/f.u.
V: 14.8 A^3/atom
size of the total moment: 1.90 μB/cell

=====

Model x:
NaGePO2: relaxed, PBE-GGA.

abc: 4.0376 4.0376 5.2792
angles: 90.00 90.00 90.00
Fractional coordinates of all 5 atoms:
1 Na 0.0000 0.0000 0.0000
2 Ge 0.5000 0.5000 0.5000
3 P 0.0000 0.0000 0.5000
4 O 0.0000 0.5000 0.0000
5 O 0.5000 0.0000 0.0000

DOS at the Fermi energy: 4.183 states/eV/f.u.
V: 17.2 A^3/atom
size of the total moment: 2.84 μB/cell

=====

Most stable: model w (next structure +1.079 eV/atom)

=====

Model w:
NaGeP2O: relaxed, PBE-GGA.

abc: 5.0945 5.0945 3.5793
angles: 90.00 90.00 90.00
Fractional coordinates of all 5 atoms:
1 Na 0.0000 0.0000 0.0000
2 Ge 0.5000 0.5000 0.5000
3 P 0.0000 0.5000 0.5000
4 P 0.5000 0.0000 0.5000
5 O 0.5000 0.5000 0.0000

DOS at the Fermi energy: 3.378 states/eV/f.u.
V: 18.6 A^3/atom
size of the total moment: 0.00 μB/cell

=====

Model x:
NaGeP2O: relaxed, PBE-GGA.

abc: 4.9305 4.9305 3.9927
angles: 90.00 90.00 90.00
Fractional coordinates of all 5 atoms:
1 Na 0.0000 0.0000 0.0000
2 Ge 0.5000 0.5000 0.5000
3 P 0.0000 0.5000 0.0000
4 P 0.5000 0.0000 0.0000
5 O 0.0000 0.0000 0.5000

DOS at the Fermi energy: 3.210 states/eV/f.u.
V: 19.4 A^3/atom
size of the total moment: 1.79 μB/cell

=====

Most stable: model w (next structure +0.934 eV/atom)

=====

Model w:
Na2GeS3O7: relaxed, PBE-GGA.

abc: 6.7724 9.2044 9.2772
angles: 116.22 100.43 101.02
Fractional coordinates of all 26 atoms:
1 Na 0.0987 0.4726 0.1983
2 Na 0.3415 0.4654 0.6340
3 Na 0.6585 0.5346 0.3660
4 Na 0.9013 0.5274 0.8017
5 Ge 0.3277 0.8583 0.8199
6 Ge 0.6723 0.1417 0.1801
7 S 0.1930 0.2426 0.8363
8 S 0.2209 0.8687 0.5571
9 S 0.2926 0.0837 0.0816
10 S 0.7074 0.9163 0.9184
11 S 0.7791 0.1313 0.4429
12 S 0.8070 0.7574 0.1637
13 O 0.0009 0.7503 0.4835
14 O 0.0522 0.3464 0.8876
15 O 0.2131 0.6737 0.8106
16 O 0.2804 0.2526 0.0791
17 O 0.3729 0.6107 0.4632
18 O 0.3838 0.7772 0.4723
19 O 0.3876 0.3284 0.8224
20 O 0.6124 0.6716 0.1776
21 O 0.6162 0.2228 0.5277
22 O 0.6271 0.3893 0.5368
23 O 0.7196 0.7474 0.9209
24 O 0.7869 0.3263 0.1894
25 O 0.9478 0.6536 0.1124
26 O 0.9991 0.2497 0.5165

V: 18.7 A^3/atom
size of the total moment: 0.00 μB/cell

=====

Model x:
Na2GeS3O7: relaxed, PBE-GGA.

abc: 6.8755 7.9773 8.7943
angles: 88.37 67.39 88.02
Fractional coordinates of all 26 atoms:
1 Na 0.1591 0.4369 0.3016
2 Na 0.1980 0.8500 0.3998
3 Na 0.8020 0.1500 0.6002
4 Na 0.8409 0.5631 0.6984
5 Ge 0.1353 0.9012 0.8532
6 Ge 0.8647 0.0988 0.1468
7 S 0.0569 0.2091 0.8702
8 S 0.4322 0.7180 0.6430
9 S 0.4482 0.0504 0.9204
10 S 0.5518 0.9496 0.0796
11 S 0.5678 0.2820 0.3570
12 S 0.9431 0.7909 0.1298
13 O 0.0892 0.7241 0.2134
14 O 0.1090 0.1821 0.1833
15 O 0.1502 0.1229 0.3208
16 O 0.1887 0.5836 0.5189
17 O 0.2954 0.5572 0.6299
18 O 0.4947 0.8188 0.4885
19 O 0.4986 0.5210 0.0690
20 O 0.5014 0.4790 0.9310
21 O 0.5053 0.1812 0.5115
22 O 0.7046 0.4428 0.3701
23 O 0.8113 0.4164 0.4811
24 O 0.8498 0.8771 0.6792
25 O 0.8910 0.8179 0.8167
26 O 0.9108 0.2759 0.7866

DOS at the Fermi energy: 2.754 states/eV/f.u.
V: 17.1 A^3/atom
size of the total moment: 1.85 μB/cell

=====

Most stable: model w (next structure +0.390 eV/atom)